1.
Computed, not measured: an optimized crystal structure of La5Dy3Hg12 at the PBE level of DFT.

Cell lengths 15.372, 15.372, 15.372 Å; angles 109.47, 109.47, 109.47 degrees
Sites, in units of the cell vectors:
La  0.000  0.000  0.000
La  0.000  0.000  0.500
La  0.000  0.500  0.000
La  0.000  0.500  0.500
La  0.125  0.750  0.875
La  0.125  0.875  0.250
La  0.250  0.125  0.875
La  0.250  0.625  0.375
La  0.375  0.250  0.625
La  0.375  0.625  0.750
La  0.500  0.000  0.000
La  0.500  0.000  0.500
La  0.500  0.500  0.000
La  0.500  0.500  0.500
La  0.625  0.375  0.250
La  0.625  0.750  0.375
La  0.750  0.375  0.625
La  0.750  0.875  0.125
La  0.875  0.125  0.750
La  0.875  0.250  0.125
Dy  0.125  0.250  0.375
Dy  0.125  0.375  0.750
Dy  0.250  0.375  0.125
Dy  0.250  0.875  0.625
Dy  0.375  0.125  0.250
Dy  0.375  0.750  0.125
Dy  0.625  0.250  0.875
Dy  0.625  0.875  0.750
Dy  0.750  0.125  0.375
Dy  0.750  0.625  0.875
Dy  0.875  0.625  0.250
Dy  0.875  0.750  0.625
Hg  0.075  0.651  0.418
Hg  0.075  0.924  0.658
Hg  0.076  0.233  0.151
Hg  0.076  0.342  0.925
Hg  0.082  0.733  0.658
Hg  0.082  0.849  0.425
Hg  0.151  0.076  0.233
Hg  0.151  0.575  0.918
Hg  0.158  0.233  0.582
Hg  0.158  0.424  0.575
Hg  0.233  0.151  0.076
Hg  0.233  0.582  0.158
Hg  0.267  0.342  0.918
Hg  0.267  0.424  0.349
Hg  0.342  0.918  0.267
Hg  0.342  0.925  0.076
Hg  0.349  0.267  0.424
Hg  0.349  0.582  0.925
Hg  0.418  0.075  0.651
Hg  0.418  0.842  0.767
Hg  0.424  0.349  0.267
Hg  0.424  0.575  0.158
Hg  0.425  0.082  0.849
Hg  0.425  0.842  0.576
Hg  0.575  0.158  0.424
Hg  0.575  0.918  0.151
Hg  0.576  0.425  0.842
Hg  0.576  0.651  0.733
Hg  0.582  0.158  0.233
Hg  0.582  0.925  0.349
Hg  0.651  0.418  0.075
Hg  0.651  0.733  0.576
Hg  0.658  0.075  0.924
Hg  0.658  0.082  0.733
Hg  0.733  0.576  0.651
Hg  0.733  0.658  0.082
Hg  0.767  0.418  0.842
Hg  0.767  0.849  0.924
Hg  0.842  0.576  0.425
Hg  0.842  0.767  0.418
Hg  0.849  0.425  0.082
Hg  0.849  0.924  0.767
Hg  0.918  0.151  0.575
Hg  0.918  0.267  0.342
Hg  0.924  0.658  0.075
Hg  0.924  0.767  0.849
Hg  0.925  0.076  0.342
Hg  0.925  0.349  0.582

Values from the calculation:
For the volume, the calculation gives 2796 Å³ per cell. For the size of the total moment, the calculation gives 0.0 μB/f.u. The calculation puts the total energy at -43.957 eV/f.u. For the formation energy, the calculation gives -0.095 eV/atom.



2.
Computed, not measured: an optimized crystal structure of In2TeMoIr at the PBE level of DFT.

Cell lengths 5.324, 5.324, 4.779 Å; angles 90.00, 90.00, 90.00 degrees
Sites, in units of the cell vectors:
In  0.000  0.500  0.000
In  0.500  0.000  0.000
Te  0.000  0.000  0.500
Mo  0.500  0.500  0.000
Ir  0.500  0.500  0.500

Values from the calculation:
For the volume, the calculation gives 135 Å³ per cell. For the energy relative to the elements, uncorrected, the calculation gives 901 meV per atom. For the size of the total moment, the calculation gives 1.1 μB/f.u. The calculation puts the total energy at -23.808 eV/f.u.



3.
Computed, not measured: an optimized crystal structure of Li3HgBi at the PBE level of DFT.

Cell lengths 8.482, 8.482, 8.482 Å; angles 41.75, 41.75, 41.75 degrees
Sites, in units of the cell vectors:
Li  0.225  0.723  0.723
Li  0.277  0.277  0.775
Li  0.277  0.775  0.277
Li  0.723  0.225  0.723
Li  0.723  0.723  0.225
Li  0.775  0.277  0.277
Hg  0.351  0.351  0.351
Hg  0.649  0.649  0.649
Bi  0.217  0.217  0.217
Bi  0.783  0.783  0.783

Values from the calculation:
For the volume, the calculation gives 245 Å³ per cell. For the size of the total moment, the calculation gives 0.0 μB/f.u. The calculation puts the total energy at -11.271 eV/f.u. For the formation energy, the calculation gives -0.269 eV/atom.



4.
Computed, not measured: an optimized crystal structure of Al3CdAu6 at the PBE level of DFT.

Cell lengths 9.138, 3.721, 11.061 Å; angles 90.00, 93.62, 90.00 degrees
Sites, in units of the cell vectors:
Al  0.085  0.250  0.330
Al  0.206  0.250  0.948
Al  0.353  0.750  0.356
Al  0.647  0.250  0.644
Al  0.794  0.750  0.052
Al  0.915  0.750  0.670
Cd  0.384  0.750  0.755
Cd  0.616  0.250  0.245
Au  0.005  0.750  0.896
Au  0.129  0.750  0.490
Au  0.137  0.250  0.713
Au  0.305  0.250  0.196
Au  0.386  0.250  0.550
Au  0.387  0.750  0.016
Au  0.613  0.250  0.984
Au  0.614  0.750  0.450
Au  0.695  0.750  0.804
Au  0.863  0.750  0.287
Au  0.871  0.250  0.510
Au  0.995  0.250  0.104

Values from the calculation:
For the volume, the calculation gives 375 Å³ per cell. For the size of the total moment, the calculation gives 0.0 μB/f.u. The calculation puts the total energy at -34.547 eV/f.u. For the formation energy, the calculation gives -0.274 eV/atom.



5.
Computed, not measured: an optimized crystal structure of Tb2Ho3Er6Sc at the PBE level of DFT.

Cell lengths 6.058, 6.058, 11.605 Å; angles 94.98, 94.98, 119.95 degrees
Sites, in units of the cell vectors:
Tb  0.167  0.833  0.000
Tb  0.833  0.167  0.000
Ho  0.000  0.000  0.500
Ho  0.334  0.666  0.500
Ho  0.666  0.334  0.500
Er  0.087  0.418  0.752
Er  0.251  0.251  0.249
Er  0.418  0.087  0.752
Er  0.582  0.913  0.248
Er  0.749  0.749  0.751
Er  0.913  0.582  0.248
Sc  0.500  0.500  0.000

Values from the calculation:
For the volume, the calculation gives 363 Å³ per cell. For the size of the total moment, the calculation gives 0.0 μB/f.u. The calculation puts the total energy at -56.367 eV/f.u. For the formation energy, the calculation gives 0.028 eV/atom.



6.
Computed, not measured: an optimized crystal structure of Sm5DySc at the PBE level of DFT.

Cell lengths 7.892, 7.892, 7.892 Å; angles 137.15, 114.09, 81.87 degrees
Sites, in units of the cell vectors:
Sm  0.000  0.000  0.000
Sm  0.244  0.744  0.500
Sm  0.317  0.500  0.817
Sm  0.683  0.500  0.183
Sm  0.756  0.256  0.500
Dy  0.500  0.000  0.500
Sc  0.000  0.500  0.500

Values from the calculation:
For the volume, the calculation gives 295 Å³ per cell. For the size of the total moment, the calculation gives 0.0 μB/f.u. The calculation puts the total energy at -27.968 eV/f.u. For the formation energy, the calculation gives 0.937 eV/atom.